First-principles (PBE) data for crystalline Nd2Y2BI5 at its relaxed geometry, as listed in OQMD.

Energy (eV per formula unit): -47.89

a b c (Å): 19.340 4.135 8.939
angles (deg): 90.00 102.48 90.00
Space group C2/m (No. 12)
One atom of each set of equivalent atoms:
Nd 0.001 0.000 0.299 x4
Y 0.134 0.500 0.567 x4
B 0.000 0.500 0.500 x2
I 0.000 0.500 0.000 x2
I 0.167 0.000 0.830 x4
I 0.173 0.000 0.336 x4